The following is a DFT calculation (PBE-GGA) of Ba2Pm2S5 after structural relaxation.

Properties
* total magnetic moment: 0.00 μB/cell
* density: 5.038 Mg/m³
* energy relative to the elements, uncorrected: -2057 meV per atom

Unit cell a=8.5938 b=8.5938 c=7.9212 alpha=90.00 beta=90.00 gamma=54.77
Sites, in units of the cell vectors:
1 Ba 0.1990 0.1990 0.0000
2 Ba 0.3010 0.3010 0.5000
3 Ba 0.6990 0.6990 0.5000
4 Ba 0.8010 0.8010 0.0000
5 Pm 0.1619 0.8381 0.6625
6 Pm 0.3381 0.6619 0.1625
7 Pm 0.6619 0.3381 0.8375
8 Pm 0.8381 0.1619 0.3375
9 S 0.0000 0.0000 0.0000
10 S 0.0285 0.7275 0.3511
11 S 0.2275 0.5285 0.8511
12 S 0.2725 0.9715 0.3511
13 S 0.4715 0.7725 0.8511
14 S 0.5000 0.5000 0.5000
15 S 0.5285 0.2275 0.1489
16 S 0.7275 0.0285 0.6489
17 S 0.7725 0.4715 0.1489
18 S 0.9715 0.2725 0.6489